[1]
{"formula": "MnTeAsAu2", "functional": "PBE", "state": "optimized geometry", "lattice_angstrom": [[-1.833, -2.937, 3.659], [3.699, -2.531, -0.179], [2.182, 2.944, 3.456]], "species": ["As", "Te", "Au", "Au", "Mn"], "frac_coords": [[0.000, 0.500, 0.000], [0.500, 0.500, 0.500], [0.000, 0.000, 0.500], [0.500, 0.000, 0.000], [0.000, 0.000, 0.000]], "final_energy_ev_per_atom": -4.181}

[2]
{"formula": "ZrMn2AsAu", "functional": "PBE", "state": "optimized geometry", "lattice_angstrom": [[4.834, 0.000, 0.000], [0.000, 4.913, 0.000], [0.000, 0.000, 4.834]], "species": ["As", "Mn", "Mn", "Au", "Zr"], "frac_coords": [[0.000, 0.500, 0.000], [0.000, 0.000, 0.500], [0.500, 0.000, 0.000], [0.000, 0.000, 0.000], [0.500, 0.500, 0.500]], "ef_ev_per_atom": 0.84}

[3]
{"formula": "MoAsAu3", "functional": "PBE", "state": "optimized geometry", "lattice_angstrom": [[-4.209, -1.384, -2.054], [2.275, -0.558, -4.285], [0.979, -4.650, 1.126]], "species": ["Mo", "Au", "Au", "Au", "As"], "frac_coords": [[0.500, 0.500, 0.500], [0.000, 0.500, 0.000], [0.000, 0.000, 0.500], [0.500, 0.000, 0.000], [0.000, 0.000, 0.000]], "ef_ev_per_atom": 0.97}

[4]
{"formula": "Mo2AsAu", "functional": "PBE", "state": "optimized geometry", "lattice_angstrom": [[7.227, 0.000, 0.000], [0.000, 7.227, 0.000], [3.613, 3.613, 2.679]], "species": ["Mo", "Mo", "Mo", "Mo", "Au", "Au", "As", "As"], "frac_coords": [[0.587, 0.125, 0.250], [0.163, 0.625, 0.250], [0.375, 0.413, 0.750], [0.875, 0.837, 0.750], [0.000, 0.000, 0.000], [0.750, 0.250, 0.500], [0.500, 0.500, 0.000], [0.250, 0.750, 0.500]], "ef_ev_per_atom": 0.46}

[5]
{"formula": "Mo2AsAu", "functional": "PBE", "state": "optimized geometry", "lattice_angstrom": [[-2.762, -0.305, 1.869], [-1.447, -1.792, -2.431], [2.200, -5.067, 2.425]], "species": ["Mo", "Mo", "Au", "As"], "frac_coords": [[0.000, 0.000, 0.029], [0.500, 0.500, 0.238], [0.500, 0.500, 0.754], [0.000, 0.000, 0.478]], "ef_ev_per_atom": 0.19}

[6]
{"formula": "Mo2As2Au", "functional": "PBE", "state": "optimized geometry", "lattice_angstrom": [[7.203, 0.000, 0.000], [0.000, 7.203, 0.000], [0.000, 0.000, 3.230]], "species": ["Mo", "Mo", "Mo", "Mo", "Au", "Au", "As", "As", "As", "As"], "frac_coords": [[0.360, 0.860, 0.000], [0.860, 0.640, 0.000], [0.640, 0.140, 0.000], [0.140, 0.360, 0.000], [0.000, 0.000, 0.000], [0.500, 0.500, 0.000], [0.150, 0.650, 0.500], [0.650, 0.850, 0.500], [0.850, 0.350, 0.500], [0.350, 0.150, 0.500]], "ef_ev_per_atom": 0.00}

[7]
{"formula": "Mo2AsAu", "functional": "PBE", "state": "optimized geometry", "lattice_angstrom": [[4.401, 0.000, 0.000], [0.000, 3.878, 0.000], [0.000, 0.000, 3.878]], "species": ["Mo", "Mo", "Au", "As"], "frac_coords": [[0.000, 0.000, 0.000], [0.000, 0.500, 0.500], [0.500, 0.000, 0.500], [0.500, 0.500, 0.000]], "ef_ev_per_atom": 0.43}

[8]
{"formula": "Mo2AsAu", "functional": "PBE", "state": "optimized geometry", "lattice_angstrom": [[-2.460, 1.315, -0.087], [-0.510, -2.698, 0.501], [0.536, 1.619, 9.257]], "species": ["Mo", "Mo", "Au", "As"], "frac_coords": [[0.000, 0.000, 0.019], [0.500, 0.500, 0.242], [0.500, 0.500, 0.771], [0.000, 0.000, 0.467]], "ef_ev_per_atom": 0.21}

[9]
{"formula": "Mo3AsAu", "functional": "PBE", "state": "optimized geometry", "lattice_angstrom": [[-3.696, -1.474, 2.302], [2.595, -0.674, 3.734], [-0.860, 4.302, 1.374]], "species": ["Mo", "Mo", "Mo", "Au", "As"], "frac_coords": [[0.000, 0.500, 0.000], [0.000, 0.000, 0.500], [0.500, 0.000, 0.000], [0.500, 0.500, 0.500], [0.000, 0.000, 0.000]], "ef_ev_per_atom": 1.17}

[10]
{"formula": "Mo2AsAu", "functional": "PBE", "state": "optimized geometry", "lattice_angstrom": [[-4.308, 0.354, 2.156], [-4.082, -2.473, 0.743], [1.203, -2.016, 4.225]], "species": ["Mo", "Mo", "Au", "As"], "frac_coords": [[0.985, 0.985, 0.051], [0.269, 0.269, 0.227], [0.732, 0.732, 0.759], [0.514, 0.514, 0.463]], "ef_ev_per_atom": 0.25}

[11]
{"formula": "Mo2AsAu", "functional": "PBE", "state": "optimized geometry", "lattice_angstrom": [[-5.961, -2.423, 6.070], [-5.922, -4.866, 4.418], [-3.911, -4.490, 6.542]], "species": ["Mo", "Mo", "Au", "As"], "frac_coords": [[0.006, 0.006, 0.006], [0.494, 0.494, 0.494], [0.250, 0.250, 0.250], [0.750, 0.750, 0.750]], "ef_ev_per_atom": 0.26}

[12]
{"formula": "Mo2AsAu", "functional": "PBE", "state": "optimized geometry", "lattice_angstrom": [[-0.841, -4.044, 1.944], [-1.144, -3.583, -2.587], [2.937, -3.451, -0.548]], "species": ["Mo", "Mo", "Au", "As"], "frac_coords": [[0.000, 0.000, 0.000], [0.250, 0.250, 0.250], [0.750, 0.750, 0.750], [0.500, 0.500, 0.500]], "ef_ev_per_atom": 0.56}

Table of density (Mg/m³), in record order: 9.505; 6.842; 10.859; 11.010; 11.380; 10.673; 11.635; 11.012; 9.569; 11.140; 11.776; 11.448